one.
Compound: Tb4DyAl
Source: Alexandria via LeMat-Bulk
Functional: PBE-GGA
Structure: relaxed

Unit cell a=3.537 b=3.537 c=14.068 alpha=90.00 beta=90.00 gamma=90.00
Sites, in units of the cell vectors:
Tb  0.000  0.000  0.136
Tb  0.000  0.000  0.864
Tb  0.500  0.500  0.320
Tb  0.500  0.500  0.680
Dy  0.000  0.000  0.500
Al  0.500  0.500  0.000

Results
total magnetic moment = 0.00 μB/f.u.
calculated volume = 29.3 A^3/atom
DOS(E_F) = 1.09 states/eV/atom

---

two.
Compound: Tb4DyAl
Source: Alexandria via LeMat-Bulk
Functional: PBE-GGA
Structure: relaxed

Unit cell a=8.181 b=8.181 c=6.249 alpha=99.90 beta=99.90 gamma=115.50
Sites, in units of the cell vectors:
Tb  0.085  0.716  0.955
Tb  0.163  0.396  0.623
Tb  0.284  0.915  0.545
Tb  0.396  0.163  0.123
Tb  0.604  0.837  0.877
Tb  0.716  0.085  0.455
Tb  0.837  0.604  0.377
Tb  0.915  0.284  0.045
Dy  0.408  0.592  0.250
Dy  0.592  0.408  0.750
Al  0.001  0.999  0.750
Al  0.999  0.001  0.250

Results
total magnetic moment = 0.00 μB/f.u.
calculated volume = 29.8 A^3/atom
DOS(E_F) = 1.31 states/eV/atom

---

Which structure is the most stable? The one labeled one.

---

one.
Compound: Tb3DyAl8
Source: Alexandria via LeMat-Bulk
Functional: PBE-GGA
Structure: relaxed

Unit cell a=5.562 b=5.562 c=9.142 alpha=90.00 beta=90.00 gamma=120.00
Sites, in units of the cell vectors:
Tb  0.000  0.000  0.000
Tb  0.000  0.000  0.364
Tb  0.333  0.667  0.864
Dy  0.333  0.667  0.500
Al  0.009  0.505  0.182
Al  0.324  0.162  0.682
Al  0.495  0.505  0.182
Al  0.495  0.991  0.182
Al  0.667  0.333  0.432
Al  0.667  0.333  0.932
Al  0.838  0.162  0.682
Al  0.838  0.676  0.682

Results
total magnetic moment = 0.00 μB/f.u.
calculated volume = 20.4 A^3/atom
DOS(E_F) = 0.47 states/eV/atom

---

two.
Compound: Tb3DyAl8
Source: Alexandria via LeMat-Bulk
Functional: PBE-GGA
Structure: relaxed

Unit cell a=9.683 b=9.683 c=9.683 alpha=33.43 beta=33.43 gamma=33.43
Sites, in units of the cell vectors:
Tb  0.000  0.000  0.000
Tb  0.125  0.125  0.125
Tb  0.500  0.500  0.500
Dy  0.625  0.625  0.625
Al  0.062  0.562  0.562
Al  0.063  0.063  0.563
Al  0.063  0.563  0.063
Al  0.312  0.312  0.312
Al  0.562  0.062  0.562
Al  0.562  0.562  0.062
Al  0.563  0.063  0.063
Al  0.813  0.813  0.813

Results
total magnetic moment = 0.00 μB/f.u.
calculated volume = 20.5 A^3/atom
DOS(E_F) = 0.80 states/eV/atom

---

Which structure is the most stable? The one labeled two.

---

one.
Compound: Dy3AlTe6
Source: Alexandria via LeMat-Bulk
Functional: PBE-GGA
Structure: relaxed

Unit cell a=8.819 b=8.819 c=8.819 alpha=89.99 beta=89.99 gamma=89.99
Sites, in units of the cell vectors:
Dy  0.067  0.740  0.577
Dy  0.260  0.423  0.933
Dy  0.423  0.933  0.260
Dy  0.577  0.067  0.740
Dy  0.740  0.577  0.067
Dy  0.933  0.260  0.423
Al  0.000  0.000  0.000
Al  0.500  0.500  0.500
Te  0.041  0.695  0.920
Te  0.080  0.959  0.305
Te  0.202  0.412  0.583
Te  0.305  0.080  0.959
Te  0.412  0.583  0.202
Te  0.417  0.798  0.588
Te  0.583  0.202  0.412
Te  0.588  0.417  0.798
Te  0.695  0.920  0.041
Te  0.798  0.588  0.417
Te  0.920  0.041  0.695
Te  0.959  0.305  0.080

Results
total magnetic moment = 0.00 μB/f.u.
calculated volume = 34.3 A^3/atom

---

two.
Compound: Dy3AlTe6
Source: Alexandria via LeMat-Bulk
Functional: PBE-GGA
Structure: relaxed

Unit cell a=9.616 b=9.616 c=7.248 alpha=90.00 beta=90.00 gamma=102.08
Sites, in units of the cell vectors:
Dy  0.095  0.905  0.500
Dy  0.222  0.416  0.610
Dy  0.416  0.222  0.110
Dy  0.584  0.778  0.610
Dy  0.778  0.584  0.110
Dy  0.905  0.095  0.000
Al  0.295  0.705  0.146
Al  0.705  0.295  0.646
Te  0.061  0.599  0.330
Te  0.126  0.201  0.303
Te  0.201  0.126  0.803
Te  0.279  0.721  0.783
Te  0.401  0.939  0.330
Te  0.460  0.540  0.292
Te  0.540  0.460  0.792
Te  0.599  0.061  0.830
Te  0.721  0.279  0.283
Te  0.799  0.874  0.303
Te  0.874  0.799  0.803
Te  0.939  0.401  0.830

Results
total magnetic moment = 0.00 μB/f.u.
calculated volume = 32.8 A^3/atom

---

Which structure is the most stable? The one labeled two.

---

one.
Compound: DyAlTe3
Source: Alexandria via LeMat-Bulk
Functional: PBE-GGA
Structure: relaxed

Unit cell a=7.541 b=7.835 c=12.305 alpha=90.00 beta=119.79 gamma=90.00
Sites, in units of the cell vectors:
Dy  0.152  0.133  0.215
Dy  0.152  0.367  0.715
Dy  0.848  0.633  0.285
Dy  0.848  0.867  0.785
Al  0.275  0.677  0.124
Al  0.275  0.823  0.624
Al  0.725  0.177  0.376
Al  0.725  0.323  0.876
Te  0.083  0.197  0.933
Te  0.083  0.303  0.433
Te  0.249  0.665  0.905
Te  0.249  0.835  0.405
Te  0.458  0.051  0.807
Te  0.458  0.449  0.307
Te  0.542  0.551  0.693
Te  0.542  0.949  0.193
Te  0.751  0.165  0.595
Te  0.751  0.335  0.095
Te  0.917  0.697  0.567
Te  0.917  0.803  0.067

Results
total magnetic moment = 0.00 μB/f.u.
calculated volume = 31.5 A^3/atom

---

two.
Compound: DyAlTe3
Source: Alexandria via LeMat-Bulk
Functional: PBE-GGA
Structure: relaxed

Unit cell a=4.292 b=13.279 c=13.279 alpha=148.67 beta=90.00 gamma=90.00
Sites, in units of the cell vectors:
Dy  0.250  0.173  0.827
Dy  0.750  0.827  0.173
Al  0.250  0.287  0.547
Al  0.750  0.547  0.287
Te  0.250  0.034  0.482
Te  0.250  0.356  0.196
Te  0.250  0.660  0.896
Te  0.750  0.196  0.356
Te  0.750  0.482  0.034
Te  0.750  0.896  0.660

Results
total magnetic moment = 0.00 μB/f.u.
calculated volume = 39.4 A^3/atom

---

Which structure is the most stable? The one labeled two.

---

one.
Compound: Dy3ThAl8
Source: Alexandria via LeMat-Bulk
Functional: PBE-GGA
Structure: relaxed

Unit cell a=9.695 b=9.695 c=9.695 alpha=33.56 beta=33.56 gamma=33.56
Sites, in units of the cell vectors:
Dy  0.000  0.000  0.000
Dy  0.125  0.125  0.125
Dy  0.499  0.499  0.499
Th  0.624  0.624  0.624
Al  0.062  0.062  0.560
Al  0.062  0.560  0.062
Al  0.063  0.563  0.563
Al  0.313  0.313  0.313
Al  0.560  0.062  0.062
Al  0.563  0.063  0.563
Al  0.563  0.563  0.063
Al  0.811  0.811  0.811

Results
total magnetic moment = 0.00 μB/f.u.
calculated volume = 20.7 A^3/atom
DOS(E_F) = 0.81 states/eV/atom

---

two.
Compound: Dy3ThAl8
Source: Alexandria via LeMat-Bulk
Functional: PBE-GGA
Structure: relaxed

Unit cell a=5.570 b=5.570 c=9.247 alpha=90.00 beta=90.00 gamma=120.00
Sites, in units of the cell vectors:
Dy  0.000  0.000  0.000
Dy  0.000  0.000  0.365
Dy  0.333  0.667  0.866
Th  0.333  0.667  0.501
Al  0.008  0.504  0.182
Al  0.326  0.163  0.687
Al  0.496  0.504  0.182
Al  0.496  0.992  0.182
Al  0.667  0.333  0.431
Al  0.667  0.333  0.937
Al  0.837  0.163  0.687
Al  0.837  0.674  0.687

Results
total magnetic moment = 0.00 μB/f.u.
calculated volume = 20.7 A^3/atom
DOS(E_F) = 0.67 states/eV/atom

---

Which structure is the most stable? The one labeled one.

---

one.
Compound: DyTiAl
Source: Alexandria via LeMat-Bulk
Functional: PBE-GGA
Structure: relaxed

Unit cell a=4.892 b=4.892 c=2.976 alpha=90.00 beta=90.00 gamma=120.00
Sites, in units of the cell vectors:
Dy  0.000  0.000  0.000
Ti  0.333  0.667  0.000
Al  0.667  0.333  0.500

Results
total magnetic moment = 1.53 μB/f.u.
calculated volume = 20.6 A^3/atom
DOS(E_F) = 1.15 states/eV/atom

---

two.
Compound: DyTiAl
Source: Alexandria via LeMat-Bulk
Functional: PBE-GGA
Structure: relaxed

Unit cell a=7.198 b=7.198 c=4.491 alpha=90.00 beta=90.00 gamma=120.00
Sites, in units of the cell vectors:
Dy  0.000  0.433  0.000
Dy  0.433  0.000  0.000
Dy  0.567  0.567  0.000
Ti  0.000  0.779  0.500
Ti  0.221  0.221  0.500
Ti  0.779  0.000  0.500
Al  0.000  0.000  0.000
Al  0.333  0.667  0.500
Al  0.667  0.333  0.500

Results
total magnetic moment = 1.18 μB/f.u.
calculated volume = 22.4 A^3/atom
DOS(E_F) = 1.16 states/eV/atom

---

Which structure is the most stable? The one labeled two.

---

one.
Compound: Dy4AlTl
Source: Alexandria via LeMat-Bulk
Functional: PBE-GGA
Structure: relaxed

Unit cell a=8.891 b=8.891 c=8.891 alpha=33.31 beta=33.31 gamma=33.31
Sites, in units of the cell vectors:
Dy  0.121  0.121  0.121
Dy  0.371  0.371  0.371
Dy  0.629  0.629  0.629
Dy  0.879  0.879  0.879
Al  0.000  0.000  0.000
Tl  0.500  0.500  0.500

Results
total magnetic moment = 0.00 μB/f.u.
calculated volume = 31.5 A^3/atom
DOS(E_F) = 1.49 states/eV/atom

---

two.
Compound: Dy4AlTl
Source: Alexandria via LeMat-Bulk
Functional: PBE-GGA
Structure: relaxed

Unit cell a=7.197 b=7.197 c=7.069 alpha=104.20 beta=104.20 gamma=28.23
Sites, in units of the cell vectors:
Dy  0.152  0.152  0.333
Dy  0.154  0.154  0.820
Dy  0.846  0.846  0.180
Dy  0.848  0.848  0.667
Al  0.500  0.500  0.500
Tl  0.500  0.500  0.000

Results
total magnetic moment = 0.00 μB/f.u.
calculated volume = 27.9 A^3/atom
DOS(E_F) = 1.02 states/eV/atom

---

Which structure is the most stable? The one labeled two.

---

one.
Compound: DyAlTl
Source: Alexandria via LeMat-Bulk
Functional: PBE-GGA
Structure: relaxed

Unit cell a=8.359 b=7.932 c=4.847 alpha=77.58 beta=67.93 gamma=34.49
Sites, in units of the cell vectors:
Dy  0.108  0.108  0.892
Dy  0.892  0.892  0.108
Al  0.333  0.667  0.333
Al  0.667  0.333  0.667
Tl  0.250  0.250  0.250
Tl  0.750  0.750  0.750

Results
total magnetic moment = 0.00 μB/f.u.
calculated volume = 27.6 A^3/atom
DOS(E_F) = 0.75 states/eV/atom

---

two.
Compound: DyAlTl
Source: Alexandria via LeMat-Bulk
Functional: PBE-GGA
Structure: relaxed

Unit cell a=4.787 b=4.787 c=3.552 alpha=90.00 beta=90.00 gamma=120.00
Sites, in units of the cell vectors:
Dy  0.000  0.000  0.000
Al  0.333  0.667  0.500
Tl  0.667  0.333  0.500

Results
total magnetic moment = 0.00 μB/f.u.
calculated volume = 23.5 A^3/atom
DOS(E_F) = 0.15 states/eV/atom

---

Which structure is the most stable? The one labeled two.

---

one.
Compound: DyAlTl2
Source: Alexandria via LeMat-Bulk
Functional: PBE-GGA
Structure: relaxed

Unit cell a=5.976 b=5.976 c=5.976 alpha=46.50 beta=46.50 gamma=46.50
Sites, in units of the cell vectors:
Dy  0.000  0.000  0.000
Al  0.500  0.500  0.500
Tl  0.237  0.237  0.237
Tl  0.763  0.763  0.763

Results
total magnetic moment = 0.00 μB/f.u.
calculated volume = 25.6 A^3/atom
DOS(E_F) = 0.30 states/eV/atom

---

two.
Compound: DyAlTl2
Source: Alexandria via LeMat-Bulk
Functional: PBE-GGA
Structure: relaxed

Unit cell a=4.621 b=4.621 c=4.605 alpha=90.00 beta=90.00 gamma=90.00
Sites, in units of the cell vectors:
Dy  0.000  0.000  0.000
Al  0.500  0.500  0.000
Tl  0.000  0.500  0.500
Tl  0.500  0.000  0.500

Results
total magnetic moment = 0.00 μB/f.u.
calculated volume = 24.6 A^3/atom
DOS(E_F) = 0.44 states/eV/atom

---

Which structure is the most stable? The one labeled two.

---

one.
Compound: Dy4AlTl2
Source: Alexandria via LeMat-Bulk
Functional: PBE-GGA
Structure: relaxed

Unit cell a=5.498 b=6.607 c=10.804 alpha=90.00 beta=100.38 gamma=90.00
Sites, in units of the cell vectors:
Dy  0.131  0.250  0.123
Dy  0.235  0.750  0.441
Dy  0.328  0.011  0.734
Dy  0.328  0.489  0.734
Dy  0.672  0.511  0.266
Dy  0.672  0.989  0.266
Dy  0.765  0.250  0.559
Dy  0.869  0.750  0.877
Al  0.102  0.750  0.170
Al  0.898  0.250  0.830
Tl  0.219  0.250  0.424
Tl  0.421  0.750  0.005
Tl  0.579  0.250  0.995
Tl  0.781  0.750  0.576

Results
total magnetic moment = 0.00 μB/f.u.
calculated volume = 27.6 A^3/atom
DOS(E_F) = 0.77 states/eV/atom

---

two.
Compound: Dy4AlTl2
Source: Alexandria via LeMat-Bulk
Functional: PBE-GGA
Structure: relaxed

Unit cell a=9.048 b=9.048 c=9.048 alpha=33.51 beta=33.51 gamma=33.51
Sites, in units of the cell vectors:
Dy  0.124  0.124  0.124
Dy  0.376  0.376  0.376
Dy  0.624  0.624  0.624
Dy  0.876  0.876  0.876
Al  0.000  0.000  0.000
Tl  0.246  0.246  0.246
Tl  0.754  0.754  0.754

Results
total magnetic moment = 0.00 μB/f.u.
calculated volume = 28.7 A^3/atom
DOS(E_F) = 1.07 states/eV/atom

---

Which structure is the most stable? The one labeled one.

---

one.
Compound: DyTm3Al2
Source: Alexandria via LeMat-Bulk
Functional: PBE-GGA
Structure: relaxed

Unit cell a=8.225 b=8.225 c=8.905 alpha=118.49 beta=118.49 gamma=36.37
Sites, in units of the cell vectors:
Dy  0.131  0.131  0.177
Dy  0.869  0.869  0.823
Tm  0.060  0.060  0.716
Tm  0.313  0.313  0.009
Tm  0.383  0.383  0.464
Tm  0.617  0.617  0.536
Tm  0.687  0.687  0.991
Tm  0.940  0.940  0.284
Al  0.234  0.234  0.600
Al  0.474  0.474  0.839
Al  0.526  0.526  0.161
Al  0.766  0.766  0.400

Results
total magnetic moment = 0.01 μB/f.u.
calculated volume = 25.7 A^3/atom
DOS(E_F) = 0.97 states/eV/atom

---

two.
Compound: DyTm3Al2
Source: Alexandria via LeMat-Bulk
Functional: PBE-GGA
Structure: relaxed

Unit cell a=5.040 b=9.362 c=6.494 alpha=90.00 beta=90.00 gamma=90.00
Sites, in units of the cell vectors:
Dy  0.000  0.040  0.000
Dy  0.000  0.960  0.500
Tm  0.000  0.323  0.653
Tm  0.000  0.677  0.153
Tm  0.500  0.181  0.286
Tm  0.500  0.458  0.940
Tm  0.500  0.542  0.440
Tm  0.500  0.819  0.786
Al  0.000  0.355  0.177
Al  0.000  0.645  0.677
Al  0.500  0.146  0.761
Al  0.500  0.854  0.261

Results
total magnetic moment = 0.00 μB/f.u.
calculated volume = 25.5 A^3/atom
DOS(E_F) = 0.77 states/eV/atom

---

Which structure is the most stable? The one labeled two.